(1)
DFT (PBE) results for a geometry-optimized Li2ReTc structure.

Structure (extended XYZ):
```
4
Lattice="2.5046 0.0000 0.0000 0.0000 4.5558 0.0000 0.0000 0.0000 5.0034" Properties=species:S:1:pos:R:3 pbc="T T T"
Li 0.0000 0.0000 0.0109
Li 0.0000 0.0000 2.4908
Re 1.2523 2.2779 1.2508
Tc 1.2523 2.2779 3.7525
```

Computed properties:
Its relative energy among the computed polymorphs is 135.6 meV/atom. Its formation energy is 0.33 eV per atom. For the calculated volume, the calculation gives 14.272 Å³ per atom. The crystal system is orthorhombic. Its symmetry is No. 47.

***

(2)
DFT (PBE) results for a geometry-optimized LiRe2Tc structure.

Structure (extended XYZ):
```
4
Lattice="2.7045 0.0000 0.0000 0.0000 3.9720 0.0000 0.0000 0.0000 5.2582" Properties=species:S:1:pos:R:3 pbc="T T T"
Li 1.3522 1.9860 3.9268
Re 0.0000 0.0000 5.2149
Re 1.3522 1.9860 1.2979
Tc 0.0000 0.0000 2.7059
```

Computed properties:
Its relative energy among the computed polymorphs is 91.4 meV/atom. Its formation energy is 0.26 eV per atom. For the calculated volume, the calculation gives 14.121 Å³ per atom. The crystal system is orthorhombic. Its symmetry is No. 25.

***

(3)
DFT (PBE) results for a geometry-optimized LiRe2Tc structure.

Structure (extended XYZ):
```
4
Lattice="-2.2385 -0.0416 2.0483 0.7372 -4.1628 0.7211 2.8324 1.0415 3.1166" Properties=species:S:1:pos:R:3 pbc="T T T"
Li 1.7848 -1.5607 1.9188
Re 0.0000 0.0000 0.0000
Re -0.7506 -2.1022 1.3847
Tc 0.2969 0.4999 2.5824
```

Computed properties:
Its relative energy among the computed polymorphs is 160.9 meV/atom. Its formation energy is 0.33 eV per atom. For the calculated volume, the calculation gives 14.114 Å³ per atom. The crystal system is orthorhombic. Its symmetry is No. 47.

***

(4)
DFT (PBE) results for a geometry-optimized LiRe2Tc structure.

Structure (extended XYZ):
```
4
Lattice="0.0000 3.0368 3.0368 3.0368 0.0000 3.0368 3.0368 3.0368 0.0000" Properties=species:S:1:pos:R:3 pbc="T T T"
Re 1.5184 1.5184 1.5184
Re 4.5552 4.5552 4.5552
Tc 3.0368 3.0368 3.0368
Li 0.0000 0.0000 0.0000
```

Computed properties:
Its relative energy among the computed polymorphs is 135.8 meV/atom. Its formation energy is 0.31 eV per atom. For the calculated volume, the calculation gives 14.003 Å³ per atom. The crystal system is cubic. Its symmetry is No. 225.